Record 1
First-principles (GGA-PBEsol) data for crystalline ZrCdAs2W at its relaxed geometry, as listed in Alexandria via LeMat-Bulk. Values from VASP.

Results
- Calculated density: 7.5 g/cm³
- Uncorrected energy: -31.527 eV per formula unit
- Space-group type: No. 123
- Density of states at the Fermi level: 4.4 states/eV/f.u.

The structure in Quantum ESPRESSO input format:
```
&SYSTEM
  ibrav = 0, nat = 5, ntyp = 4
/
ATOMIC_SPECIES
Zr 91.22 Zr.upf
Cd 112.41 Cd.upf
As 74.92 As.upf
W 183.84 W.upf
ATOMIC_POSITIONS angstrom
Zr 0.000 0.000 0.000
Cd 2.390 2.390 0.000
As 0.000 2.390 2.614
As 2.390 0.000 2.614
W 0.000 0.000 2.614
CELL_PARAMETERS angstrom
4.780 0.000 0.000
0.000 4.780 0.000
0.000 0.000 5.227
```

Record 2
First-principles (GGA-PBEsol) data for crystalline Y3CdAs at its relaxed geometry, as listed in Alexandria via LeMat-Bulk. Values from VASP.

Results
- Calculated density: 5.0 g/cm³
- Uncorrected energy: -28.930 eV per formula unit
- Space-group type: No. 221
- Density of states at the Fermi level: 8.6 states/eV/f.u.

The structure in Quantum ESPRESSO input format:
```
&SYSTEM
  ibrav = 0, nat = 5, ntyp = 3
/
ATOMIC_SPECIES
Y 88.91 Y.upf
Cd 112.41 Cd.upf
As 74.92 As.upf
ATOMIC_POSITIONS angstrom
Y 0.000 0.000 2.659
Y 0.000 2.659 0.000
Y 2.659 0.000 0.000
Cd 2.659 2.659 2.659
As 0.000 0.000 0.000
CELL_PARAMETERS angstrom
5.318 0.000 0.000
0.000 5.318 0.000
0.000 0.000 5.318
```

Record 3
First-principles (GGA-PBEsol) data for crystalline YCd2As at its relaxed geometry, as listed in Alexandria via LeMat-Bulk. Values from VASP.

Results
- Calculated density: 7.2 g/cm³
- Uncorrected energy: -15.310 eV per formula unit
- Space-group type: No. 123
- Density of states at the Fermi level: 3.9 states/eV/f.u.

The structure in Quantum ESPRESSO input format:
```
&SYSTEM
  ibrav = 0, nat = 4, ntyp = 3
/
ATOMIC_SPECIES
Y 88.91 Y.upf
Cd 112.41 Cd.upf
As 74.92 As.upf
ATOMIC_POSITIONS angstrom
Y 0.000 0.000 0.000
Cd 1.971 1.971 1.514
Cd 1.971 1.971 4.269
As 0.000 0.000 2.891
CELL_PARAMETERS angstrom
3.942 0.000 0.000
0.000 3.942 0.000
0.000 0.000 5.783
```

Record 4
First-principles (GGA-PBEsol) data for crystalline YCd2As at its relaxed geometry, as listed in Alexandria via LeMat-Bulk. Values from VASP.

Results
- Calculated density: 7.3 g/cm³
- Uncorrected energy: -15.723 eV per formula unit
- Space-group type: No. 44
- Density of states at the Fermi level: 3.1 states/eV/f.u.

The structure in Quantum ESPRESSO input format:
```
&SYSTEM
  ibrav = 0, nat = 8, ntyp = 3
/
ATOMIC_SPECIES
Y 88.91 Y.upf
Cd 112.41 Cd.upf
As 74.92 As.upf
ATOMIC_POSITIONS angstrom
Y 0.000 0.000 0.000
Y 2.133 2.300 4.484
Cd 0.000 0.000 4.293
Cd 0.000 2.300 2.157
Cd 2.133 0.000 6.641
Cd 2.133 2.300 8.777
As 0.000 2.300 6.598
As 2.133 0.000 2.114
CELL_PARAMETERS angstrom
4.266 0.000 0.000
0.000 4.599 0.000
0.000 0.000 8.968
```

Record 5
First-principles (GGA-PBEsol) data for crystalline YCd2As at its relaxed geometry, as listed in Alexandria via LeMat-Bulk. Values from VASP.

Results
- Calculated density: 7.1 g/cm³
- Uncorrected energy: -16.533 eV per formula unit
- Space-group type: No. 6
- Density of states at the Fermi level: 1.3 states/eV/f.u.

The structure in Quantum ESPRESSO input format:
```
&SYSTEM
  ibrav = 0, nat = 4, ntyp = 3
/
ATOMIC_SPECIES
Y 88.91 Y.upf
Cd 112.41 Cd.upf
As 74.92 As.upf
ATOMIC_POSITIONS angstrom
Y 0.000 0.000 0.000
Cd 0.001 1.926 3.682
Cd 2.005 0.000 2.749
As 2.005 1.926 0.592
CELL_PARAMETERS angstrom
4.011 0.000 0.000
0.000 3.852 0.000
-1.998 0.000 5.883
```

Record 6
First-principles (GGA-PBEsol) data for crystalline ZnCdAs2 at its relaxed geometry, as listed in Alexandria via LeMat-Bulk. Values from VASP.

Results
- Calculated density: 7.3 g/cm³
- Uncorrected energy: -11.970 eV per formula unit
- E above lowest polymorph: 0.0110 eV/atom
- Space-group type: No. 119
- Density of states at the Fermi level: 1.7 states/eV/f.u.

The structure in Quantum ESPRESSO input format:
```
&SYSTEM
  ibrav = 0, nat = 8, ntyp = 3
/
ATOMIC_SPECIES
Zn 65.41 Zn.upf
Cd 112.41 Cd.upf
As 74.92 As.upf
ATOMIC_POSITIONS angstrom
Zn 0.000 0.000 0.000
Zn 1.992 1.992 4.723
Cd 0.000 1.992 7.085
Cd 1.992 0.000 2.362
As 0.000 0.000 4.723
As 0.000 1.992 2.362
As 1.992 0.000 7.085
As 1.992 1.992 0.000
CELL_PARAMETERS angstrom
3.985 0.000 0.000
0.000 3.985 0.000
0.000 0.000 9.447
```

Record 7
First-principles (GGA-PBEsol) data for crystalline ZnCdAs3 at its relaxed geometry, as listed in Alexandria via LeMat-Bulk. Values from VASP.

Results
- Calculated density: 5.2 g/cm³
- Uncorrected energy: -12.427 eV per formula unit
- Space-group type: No. 221
- Density of states at the Fermi level: 5.2 states/eV/f.u.

The structure in Quantum ESPRESSO input format:
```
&SYSTEM
  ibrav = 0, nat = 5, ntyp = 3
/
ATOMIC_SPECIES
Zn 65.41 Zn.upf
Cd 112.41 Cd.upf
As 74.92 As.upf
ATOMIC_POSITIONS angstrom
Zn 0.000 0.000 0.000
Cd 2.531 2.531 2.531
As 0.000 2.531 2.531
As 2.531 0.000 2.531
As 2.531 2.531 0.000
CELL_PARAMETERS angstrom
5.063 0.000 0.000
0.000 5.063 0.000
0.000 0.000 5.063
```

Record 8
First-principles (GGA-PBEsol) data for crystalline ZnCdAs2 at its relaxed geometry, as listed in Alexandria via LeMat-Bulk. Values from VASP.

Results
- Calculated density: 7.2 g/cm³
- Uncorrected energy: -12.014 eV per formula unit
- E above lowest polymorph: 0.0000 eV/atom
- Space-group type: No. 160
- Density of states at the Fermi level: 1.8 states/eV/f.u.

The structure in Quantum ESPRESSO input format:
```
&SYSTEM
  ibrav = 0, nat = 12, ntyp = 3
/
ATOMIC_SPECIES
Zn 65.41 Zn.upf
Cd 112.41 Cd.upf
As 74.92 As.upf
ATOMIC_POSITIONS angstrom
Zn 0.000 0.000 0.000
Zn 0.000 1.730 19.326
Zn 1.498 0.865 9.663
Cd 0.000 0.000 7.417
Cd 0.000 1.730 26.742
Cd 1.498 0.865 17.080
As 0.000 0.000 14.702
As 0.000 0.000 21.346
As 0.000 1.730 5.040
As 0.000 1.730 11.684
As 1.498 0.865 2.021
As 1.498 0.865 24.365
CELL_PARAMETERS angstrom
2.996 0.000 0.000
-1.498 2.595 0.000
0.000 0.000 28.988
```